PrHo3Zn2 | GGA-PBE | relaxed

a = 3.5603 Å, b = 3.5603 Å, c = 12.3027 Å
α = 90.00°, β = 90.00°, γ = 90.00°
Atoms (fractional coordinates):
Zn: 0.5000 0.5000 0.1420
Zn: 0.5000 0.5000 0.8580
Ho: 0.0000 0.0000 0.0000
Ho: 0.0000 0.0000 0.7151
Ho: 0.0000 0.0000 0.2849
Pr: 0.5000 0.5000 0.5000

Calculated values
The symmetry is P4/mmm, No. 123. The calculation puts the spin magnetization at 0.01 μB per formula unit. As for the total energy: -22.4 eV/cell.

=====

PrHoZn6 | GGA-PBE | relaxed

a = 4.7324 Å, b = 4.7324 Å, c = 6.7097 Å
α = 90.00°, β = 90.00°, γ = 90.00°
Atoms (fractional coordinates):
Pr: 0.5000 0.5000 0.0000
Zn: 0.0000 0.5000 0.2624
Zn: 0.5000 0.0000 0.2624
Zn: 0.5000 0.0000 0.7376
Zn: 0.5000 0.5000 0.5000
Zn: 0.0000 0.0000 0.0000
Zn: 0.0000 0.5000 0.7376
Ho: 0.0000 0.0000 0.5000

Calculated values
The symmetry is P4/mmm, No. 123. The calculation puts the spin magnetization at 0.01 μB per formula unit. As for the total energy: -19.1 eV/cell.

=====

Ho5Pt4 | GGA-PBE | relaxed

a = 7.4347 Å, b = 14.6089 Å, c = 7.5173 Å
α = 90.00°, β = 90.00°, γ = 90.00°
Atoms (fractional coordinates):
Ho: 0.1927 0.2500 0.4883
Ho: 0.8542 0.1230 0.6669
Ho: 0.6458 0.8770 0.1669
Ho: 0.4914 0.5927 0.6791
Ho: 0.0086 0.4073 0.1791
Ho: 0.8542 0.3770 0.6669
Ho: 0.1458 0.8770 0.3331
Ho: 0.3542 0.3770 0.8331
Ho: 0.8073 0.7500 0.5117
Ho: 0.5086 0.0927 0.3209
Ho: 0.1458 0.6230 0.3331
Ho: 0.3073 0.7500 0.9883
Ho: 0.5086 0.4073 0.3209
Ho: 0.9914 0.9073 0.8209
Ho: 0.9914 0.5927 0.8209
Ho: 0.6927 0.2500 0.0117
Ho: 0.6458 0.6230 0.1669
Ho: 0.0086 0.0927 0.1791
Ho: 0.3542 0.1230 0.8331
Ho: 0.4914 0.9073 0.6791
Pt: 0.8092 0.5406 0.4673
Pt: 0.4418 0.7500 0.3885
Pt: 0.5582 0.2500 0.6115
Pt: 0.1908 0.0406 0.5327
Pt: 0.3312 0.2500 0.1432
Pt: 0.6908 0.4594 0.9673
Pt: 0.3092 0.9594 0.0327
Pt: 0.6688 0.7500 0.8568
Pt: 0.8312 0.2500 0.3568
Pt: 0.0582 0.2500 0.8885
Pt: 0.3092 0.5406 0.0327
Pt: 0.8092 0.9594 0.4673
Pt: 0.6908 0.0406 0.9673
Pt: 0.9418 0.7500 0.1115
Pt: 0.1908 0.4594 0.5327
Pt: 0.1688 0.7500 0.6432

Calculated values
The symmetry is Pnma, No. 62. The calculation puts the spin magnetization at 0.00 μB per formula unit. As for the total energy: -231.1 eV/cell.

=====

Ho3Pt | GGA-PBE | relaxed

a = 7.0119 Å, b = 9.4884 Å, c = 6.4397 Å
α = 90.00°, β = 90.00°, γ = 90.00°
Atoms (fractional coordinates):
Pt: 0.8892 0.2500 0.5498
Pt: 0.3892 0.2500 0.9502
Pt: 0.6108 0.7500 0.0498
Pt: 0.1108 0.7500 0.4502
Ho: 0.9748 0.7500 0.8710
Ho: 0.4748 0.7500 0.6290
Ho: 0.6813 0.0601 0.8214
Ho: 0.8187 0.9399 0.3214
Ho: 0.5252 0.2500 0.3710
Ho: 0.6813 0.4399 0.8214
Ho: 0.1813 0.0601 0.6786
Ho: 0.3187 0.5601 0.1786
Ho: 0.8187 0.5601 0.3214
Ho: 0.0252 0.2500 0.1290
Ho: 0.1813 0.4399 0.6786
Ho: 0.3187 0.9399 0.1786

Calculated values
The symmetry is Pnma, No. 62. The calculation puts the spin magnetization at 0.01 μB per formula unit. As for the total energy: -90.7 eV/cell.

=====

Ho8Pt | GGA-PBE | relaxed

a = 9.0652 Å, b = 9.0652 Å, c = 3.6624 Å
α = 90.00°, β = 90.00°, γ = 120.00°
Atoms (fractional coordinates):
Ho: 0.6667 0.3333 0.5000
Ho: 0.3888 0.3888 0.0000
Ho: 0.6112 0.0000 0.0000
Ho: 0.0000 0.2447 0.5000
Ho: 0.3333 0.6667 0.5000
Ho: 0.7553 0.7553 0.5000
Ho: 0.2447 0.0000 0.5000
Ho: 0.0000 0.6112 0.0000
Pt: 0.0000 0.0000 0.0000

Calculated values
The symmetry is P-62m, No. 189. The calculation puts the spin magnetization at 0.30 μB per formula unit. As for the total energy: -45.5 eV/cell.

=====

HoPt | GGA-PBE | relaxed

a = 3.8958 Å, b = 3.8786 Å, c = 3.5781 Å
α = 90.00°, β = 90.00°, γ = 120.00°
Atoms (fractional coordinates):
Ho: 0.6669 0.3335 0.7500
Pt: 0.3331 0.6665 0.2500

Calculated values
The symmetry is Amm2, No. 38. The calculation puts the spin magnetization at 0.00 μB per formula unit. As for the total energy: -12.7 eV/cell.

=====

Ho2Pt | GGA-PBE | relaxed

a = 7.1076 Å, b = 4.7467 Å, c = 8.7351 Å
α = 90.00°, β = 90.00°, γ = 90.00°
Atoms (fractional coordinates):
Pt: 0.2588 0.2500 0.5938
Pt: 0.2412 0.7500 0.0938
Pt: 0.7588 0.2500 0.9062
Pt: 0.7412 0.7500 0.4062
Ho: 0.5104 0.7500 0.6676
Ho: 0.6442 0.7500 0.0803
Ho: 0.9896 0.2500 0.1676
Ho: 0.8558 0.2500 0.5803
Ho: 0.4896 0.2500 0.3324
Ho: 0.1442 0.7500 0.4197
Ho: 0.3558 0.2500 0.9197
Ho: 0.0104 0.7500 0.8324

Calculated values
The symmetry is Pnma, No. 62. The calculation puts the spin magnetization at 0.00 μB per formula unit. As for the total energy: -72.4 eV/cell.

=====

HoPt | GGA-PBE | relaxed

a = 4.4450 Å, b = 4.4450 Å, c = 4.4450 Å
α = 60.00°, β = 60.00°, γ = 60.00°
Atoms (fractional coordinates):
Pt: 0.2500 0.2500 0.2500
Ho: 0.0000 0.0000 0.0000

Calculated values
The symmetry is F-43m, No. 216. The calculation puts the spin magnetization at 0.01 μB per formula unit. As for the total energy: -11.7 eV/cell.